(1)
Here is a relaxed Ac2Ag3Pd4 crystal from the Alexandria database. Energies are from GGA-PBE.

The structure in extended XYZ format:
```
18
Lattice="-1.1237 -3.1167 4.7943 7.6909 -0.2126 1.6644 -0.2109 8.7408 2.0910" Properties=species:S:1:pos:R:3 pbc="T T T"
Ac 6.3421 -0.1712 4.9170
Ac 2.0644 3.9522 6.5950
Ac 4.2919 1.4593 1.9546
Ac 0.0142 5.5828 3.6326
Ag 3.2836 -1.6646 3.2293
Ag 1.2780 2.5493 3.7278
Ag 5.0783 2.8622 4.8219
Ag 5.6402 4.4206 2.4248
Ag 0.0000 0.0000 0.0000
Ag 0.7161 0.9910 6.1249
Pd -0.9343 3.2678 5.4473
Pd 7.2906 2.1438 3.1024
Pd 4.8227 5.2379 6.3064
Pd 5.3846 6.7963 3.9092
Pd 3.1785 4.7280 3.8186
Pd 0.9717 -1.3847 4.6404
Pd 1.5336 0.1737 2.2433
Pd 3.1778 0.6836 4.7311
```

Calculated values
Fermi-level density of states	3.299	states/eV/f.u.
calculated volume	21.675	Å³ per atom
total moment	0.00	Bohr magnetons per cell
E_tot	-4.67	eV per atom


(2)
Here is a relaxed Ac2AgPd2 crystal from the Alexandria database. Energies are from GGA-PBE.

The structure in extended XYZ format:
```
10
Lattice="4.0967 0.0000 0.0000 0.0000 8.0855 0.0000 0.0000 0.0000 8.0855" Properties=species:S:1:pos:R:3 pbc="T T T"
Ac 2.0483 1.4183 5.4610
Ac 2.0483 5.4610 6.6672
Ac 2.0483 6.6672 2.6245
Ac 2.0483 2.6245 1.4183
Ag 0.0000 4.0427 4.0427
Ag 0.0000 0.0000 0.0000
Pd 0.0000 1.0215 3.0212
Pd 0.0000 3.0212 7.0640
Pd 0.0000 5.0643 1.0215
Pd 0.0000 7.0640 5.0643
```

Calculated values
Fermi-level density of states	2.704	states/eV/f.u.
calculated volume	26.782	Å³ per atom
total moment	0.00	Bohr magnetons per cell
E_tot	-4.97	eV per atom


(3)
Here is a relaxed AcAgPd crystal from the Alexandria database. Energies are from GGA-PBE.

The structure in extended XYZ format:
```
18
Lattice="4.3163 0.0000 0.0000 0.0000 7.7250 -0.0148 0.0000 -0.0506 13.3748" Properties=species:S:1:pos:R:3 pbc="T T T"
Ag 3.2372 4.7574 10.6823
Ag 3.2372 0.8946 7.2155
Ag 1.0791 6.7798 6.1445
Ag 1.0791 0.0580 1.0938
Ag 3.2372 7.6163 12.2661
Ag 1.0791 2.9170 2.6777
Pd 3.2372 5.6942 7.7807
Pd 3.2372 1.9668 1.0363
Pd 3.2372 1.8206 10.0439
Pd 1.0791 5.8538 3.3160
Pd 1.0791 5.7076 12.3237
Pd 1.0791 1.9802 5.5793
Ac 3.2372 4.2675 5.0172
Ac 1.0791 2.5101 12.2671
Ac 1.0791 7.2187 9.5318
Ac 1.0791 3.4069 8.3427
Ac 3.2372 0.4556 3.8281
Ac 3.2372 5.1642 1.0928
```

Calculated values
Fermi-level density of states	1.262	states/eV/f.u.
calculated volume	24.775	Å³ per atom
energy above the most stable polymorph in this dataset	0.0	meV/atom
total moment	0.00	Bohr magnetons per cell